Record 1
Below is a geometry-optimized Cs3YNp3Te8 structure, with properties calculated at the PBE-GGA level.

Cell: 9.054 9.054 10.467 Å, 115.66 90.00 120.00°
Each line ends with the local moment (μB).
Fractional positions:
1 Te 0.728 0.958 0.688  -0.07
2 Te 0.770 0.042 0.312  -0.07
3 Te 0.270 0.541 0.311  -0.09
4 Te 0.272 0.042 0.312  -0.07
5 Te 0.770 0.540 0.312  -0.07
6 Te 0.730 0.459 0.689  -0.09
7 Te 0.230 0.958 0.688  -0.07
8 Te 0.230 0.460 0.688  -0.07
9 Y 0.000 0.000 0.500  0.01
10 Cs 0.500 0.500 0.000  -0.01
11 Cs 0.000 0.000 0.000  -0.01
12 Cs 0.000 0.500 0.000  -0.01
13 Np 0.500 0.000 0.500  3.84
14 Np 0.000 0.500 0.500  3.84
15 Np 0.500 0.500 0.500  3.84

Output
As for the theoretical density: 5.7 g/cm3. The value obtained for the energy relative to the elements, uncorrected is -1423 kJ/mol of formula units.



Record 2
Below is a geometry-optimized Cs4Y3NpTe8 structure, with properties calculated at the PBE-GGA level.

Cell: 9.168 10.363 9.154 Å, 116.21 119.93 89.99°
Each line ends with the local moment (μB).
Fractional positions:
1 Te 0.730 0.690 0.460  0.00
2 Te 0.274 0.310 0.042  -0.02
3 Te 0.767 0.309 0.041  -0.02
4 Te 0.270 0.310 0.540  0.00
5 Te 0.767 0.309 0.536  -0.02
6 Te 0.233 0.691 0.464  -0.02
7 Te 0.233 0.691 0.959  -0.02
8 Te 0.726 0.690 0.958  -0.02
9 Y 0.500 0.500 0.000  0.01
10 Y 0.500 0.500 0.500  0.01
11 Y 0.000 0.500 0.500  0.01
12 Cs 0.000 0.000 0.500  0.00
13 Cs 0.500 0.000 0.500  0.00
14 Cs 0.500 0.000 0.000  0.00
15 Cs 0.000 0.000 0.000  0.00
16 Np 0.000 0.500 0.000  3.99

Output
As for the theoretical density: 5.3 g/cm3. The value obtained for the energy relative to the elements, uncorrected is -1957 kJ/mol of formula units.



Record 3
Below is a geometry-optimized Cs3Y2NpTe6 structure, with properties calculated at the PBE-GGA level.

Cell: 7.953 7.953 9.300 Å, 98.20 98.20 120.07°
Each line ends with the local moment (μB).
Fractional positions:
1 Te 0.726 0.726 0.190  0.03
2 Te 0.401 0.063 0.190  0.03
3 Te 0.274 0.274 0.810  0.03
4 Te 0.063 0.401 0.190  0.03
5 Te 0.937 0.599 0.810  0.03
6 Te 0.599 0.937 0.810  0.03
7 Y 0.333 0.667 0.000  -0.02
8 Y 0.667 0.333 0.000  -0.02
9 Cs 0.834 0.166 0.500  0.00
10 Cs 0.166 0.834 0.500  0.00
11 Cs 0.500 0.500 0.500  0.00
12 Np 0.000 0.000 0.000  -3.99

Output
As for the theoretical density: 5.4 g/cm3. The value obtained for the energy relative to the elements, uncorrected is -1414 kJ/mol of formula units.



Record 4
Below is a geometry-optimized Cs3Y3NpTe8 structure, with properties calculated at the PBE-GGA level.

Cell: 8.977 8.977 10.483 Å, 115.37 90.00 120.00°
Each line ends with the local moment (μB).
Fractional positions:
1 Cs 0.500 0.500 0.000  0.00
2 Cs 0.000 0.000 0.000  0.00
3 Cs 0.000 0.500 0.000  0.00
4 Te 0.269 0.041 0.312  -0.05
5 Te 0.772 0.041 0.312  -0.05
6 Te 0.228 0.457 0.688  -0.05
7 Te 0.731 0.959 0.688  -0.05
8 Te 0.730 0.460 0.690  0.00
9 Te 0.772 0.543 0.312  -0.05
10 Te 0.270 0.540 0.310  0.00
11 Te 0.228 0.959 0.688  -0.05
12 Y 0.000 0.500 0.500  0.00
13 Y 0.500 0.500 0.500  0.00
14 Y 0.500 0.000 0.500  0.00
15 Np 0.000 0.000 0.500  3.50

Output
As for the theoretical density: 5.0 g/cm3. The value obtained for the energy relative to the elements, uncorrected is -1807 kJ/mol of formula units.



Record 5
Below is a geometry-optimized CsNpZnTe3 structure, with properties calculated at the PBE-GGA level.

Cell: 4.500 10.340 10.990 Å, 111.58 90.00 90.00°
Each line ends with the local moment (μB).
Fractional positions:
1 Te 0.250 0.114 0.863  -0.05
2 Te 0.750 0.886 0.137  -0.05
3 Te 0.750 0.194 0.541  -0.02
4 Te 0.250 0.806 0.459  -0.02
5 Te 0.750 0.475 0.160  -0.08
6 Te 0.250 0.525 0.840  -0.08
7 Np 0.250 0.675 0.142  4.01
8 Np 0.750 0.325 0.858  4.01
9 Cs 0.750 0.780 0.752  0.00
10 Cs 0.250 0.220 0.248  0.00
11 Zn 0.250 0.087 0.614  0.01
12 Zn 0.750 0.913 0.386  0.01

Output
As for the theoretical density: 5.7 g/cm3. The value obtained for the energy relative to the elements, uncorrected is -430 kJ/mol of formula units.



Record 6
Below is a geometry-optimized Cs2NpZn2Te4 structure, with properties calculated at the PBE-GGA level.

Cell: 4.657 8.948 8.662 Å, 106.86 105.60 90.00°
Each line ends with the local moment (μB).
Fractional positions:
1 Cs 0.133 0.557 0.266  0.00
2 Cs 0.867 0.443 0.734  0.00
3 Te 0.516 0.767 0.032  -0.04
4 Te 0.484 0.233 0.968  -0.04
5 Te 0.797 0.843 0.595  -0.01
6 Te 0.203 0.157 0.405  -0.01
7 Zn 0.332 0.015 0.664  0.02
8 Zn 0.668 0.985 0.336  0.02
9 Np 0.000 0.000 0.000  4.29

Output
As for the theoretical density: 5.7 g/cm3. The value obtained for the energy relative to the elements, uncorrected is -593 kJ/mol of formula units.



Record 7
Below is a geometry-optimized Cs3Np2ZnTe6 structure, with properties calculated at the PBE-GGA level.

Cell: 7.911 7.911 9.183 Å, 98.22 98.22 120.12°
Each line ends with the local moment (μB).
Fractional positions:
1 Te 0.613 0.940 0.818  0.09
2 Te 0.387 0.060 0.182  0.09
3 Te 0.940 0.613 0.818  0.09
4 Te 0.060 0.387 0.182  0.09
5 Te 0.737 0.737 0.181  0.09
6 Te 0.263 0.263 0.819  0.09
7 Zn 0.000 0.000 0.000  -0.04
8 Cs 0.167 0.833 0.500  0.01
9 Cs 0.833 0.167 0.500  0.01
10 Cs 0.500 0.500 0.500  0.01
11 Np 0.333 0.667 0.000  -3.77
12 Np 0.667 0.333 0.000  -3.77

Output
As for the theoretical density: 5.9 g/cm3. The value obtained for the energy relative to the elements, uncorrected is -861 kJ/mol of formula units.



Record 8
Below is a geometry-optimized Cs2ZrNp2Te6 structure, with properties calculated at the PBE-GGA level.

Cell: 7.575 7.575 9.569 Å, 97.89 97.89 119.78°
Each line ends with the local moment (μB).
Fractional positions:
1 Te 0.744 0.744 0.687  -0.07
2 Te 0.256 0.256 0.313  -0.07
3 Te 0.932 0.616 0.311  -0.07
4 Te 0.068 0.384 0.689  -0.07
5 Te 0.384 0.068 0.689  -0.07
6 Te 0.616 0.932 0.311  -0.07
7 Cs 0.830 0.170 0.000  0.00
8 Cs 0.170 0.830 0.000  0.00
9 Np 0.332 0.668 0.500  3.91
10 Np 0.668 0.332 0.500  3.91
11 Zr 0.000 0.000 0.500  0.27

Output
As for the theoretical density: 5.8 g/cm3. The value obtained for the energy relative to the elements, uncorrected is -943 kJ/mol of formula units.



Record 9
Below is a geometry-optimized CsO4 structure, with properties calculated at the PBE-GGA level.

Cell: 4.116 10.108 10.108 Å, 90.00 90.00 90.00°
Each line ends with the local moment (μB).
Fractional positions:
1 O 0.500 0.401 0.901  0.33
2 O 0.500 0.901 0.599  0.33
3 O 0.849 0.500 0.500  0.79
4 O 0.500 0.570 0.231  0.25
5 O 0.151 0.500 0.500  0.79
6 O 0.500 0.070 0.269  0.25
7 O 0.500 0.731 0.070  0.25
8 O 0.500 0.269 0.930  0.25
9 O 0.500 0.231 0.430  0.25
10 O 0.500 0.769 0.570  0.25
11 O 0.500 0.099 0.401  0.33
12 O 0.500 0.599 0.099  0.33
13 O 0.500 0.430 0.769  0.25
14 O 0.500 0.930 0.731  0.25
15 O 0.151 0.000 0.000  0.79
16 O 0.849 0.000 0.000  0.79
17 Cs 0.000 0.191 0.691  0.00
18 Cs 0.000 0.309 0.191  0.00
19 Cs 0.000 0.691 0.809  0.00
20 Cs 0.000 0.809 0.309  0.00

Output
As for the relative energy among the computed polymorphs: 0.0000 eV/atom. As for the theoretical density: 3.1 g/cm3. The value obtained for the energy relative to the elements, uncorrected is -237 kJ/mol of formula units.



Record 10
Below is a geometry-optimized CsO structure, with properties calculated at the PBE-GGA level.

Cell: 10.887 10.887 4.944 Å, 90.00 90.00 90.00°
Each line ends with the local moment (μB).
Fractional positions:
1 Cs 0.145 0.652 0.000  0.01
2 Cs 0.348 0.145 0.000  0.01
3 Cs 0.652 0.855 0.000  0.01
4 Cs 0.848 0.645 0.500  0.01
5 Cs 0.355 0.848 0.500  0.01
6 Cs 0.855 0.348 0.000  0.01
7 Cs 0.645 0.152 0.500  0.01
8 Cs 0.152 0.355 0.500  0.01
9 O 0.856 0.349 0.500  0.11
10 O 0.644 0.151 0.000  0.11
11 O 0.849 0.644 0.000  0.11
12 O 0.651 0.856 0.500  0.11
13 O 0.349 0.144 0.500  0.11
14 O 0.144 0.651 0.500  0.11
15 O 0.151 0.356 0.000  0.11
16 O 0.356 0.849 0.000  0.11

Output
As for the theoretical density: 3.4 g/cm3. The value obtained for the energy relative to the elements, uncorrected is -104 kJ/mol of formula units.



Record 11
Below is a geometry-optimized Cs4O structure, with properties calculated at the PBE-GGA level.

Cell: 6.511 6.511 6.511 Å, 90.00 90.00 90.00°
Fractional positions:
1 Cs 0.000 0.000 0.000
2 Cs 0.000 0.500 0.500
3 Cs 0.500 0.000 0.500
4 Cs 0.500 0.500 0.000
5 O 0.500 0.500 0.500

Output
As for the relative energy among the computed polymorphs: 0.2718 eV/atom. As for the theoretical density: 3.3 g/cm3. The value obtained for the energy relative to the elements, uncorrected is -170 kJ/mol of formula units.



Record 12
Below is a geometry-optimized Cs2O structure, with properties calculated at the PBE-GGA level.

Cell: 7.741 7.741 7.741 Å, 32.02 32.02 32.02°
Fractional positions:
1 O 0.000 0.000 0.000
2 Cs 0.265 0.265 0.265
3 Cs 0.735 0.735 0.735

Output
As for the theoretical density: 4.0 g/cm3. The value obtained for the energy relative to the elements, uncorrected is -284 kJ/mol of formula units.



Record 13
Below is a geometry-optimized Cs5O6 structure, with properties calculated at the PBE-GGA level.

Cell: 11.435 9.640 9.640 Å, 145.59 103.88 103.88°
Each line ends with the local moment (μB).
Fractional positions:
1 O 0.893 0.006 0.638  0.19
2 O 0.893 0.638 0.006  0.19
3 O 0.107 0.994 0.362  0.19
4 O 0.612 0.176 0.176  0.08
5 O 0.388 0.824 0.824  0.08
6 O 0.107 0.362 0.994  0.19
7 Cs 0.500 0.500 0.500  0.00
8 Cs 0.000 0.341 0.659  0.00
9 Cs 0.500 0.850 0.150  0.00
10 Cs 0.500 0.150 0.850  0.00
11 Cs 0.000 0.659 0.341  0.00

Output
As for the theoretical density: 3.6 g/cm3. The value obtained for the energy relative to the elements, uncorrected is -891 kJ/mol of formula units.



Record 14
Below is a geometry-optimized CsO structure, with properties calculated at the PBE-GGA level.

Cell: 4.285 4.285 4.285 Å, 60.00 60.00 60.00°
Each line ends with the local moment (μB).
Fractional positions:
1 O 0.000 0.000 0.000  0.76
2 Cs 0.500 0.500 0.500  0.05

Output
As for the theoretical density: 4.4 g/cm3. The value obtained for the energy relative to the elements, uncorrected is -116 kJ/mol of formula units.



Record 15
Below is a geometry-optimized CsO structure, with properties calculated at the PBE-GGA level.

Cell: 4.747 4.747 4.808 Å, 90.00 90.00 90.00°
Fractional positions:
1 Cs 0.500 0.500 0.000
2 Cs 0.000 0.000 0.500
3 O 0.500 0.500 0.500
4 O 0.000 0.000 0.000

Output
As for the theoretical density: 4.6 g/cm3. The value obtained for the energy relative to the elements, uncorrected is -113 kJ/mol of formula units.



Record 16
Below is a geometry-optimized Cs7O structure, with properties calculated at the PBE-GGA level.

Cell: 9.327 16.417 16.417 Å, 120.00 90.00 90.00°
Fractional positions:
1 Cs 0.000 0.333 0.667
2 Cs 0.000 0.118 0.882
3 Cs 0.500 0.558 0.779
4 Cs 0.219 0.519 0.481
5 Cs 0.500 0.221 0.442
6 Cs 0.000 0.784 0.567
7 Cs 0.000 0.118 0.236
8 Cs 0.000 0.784 0.216
9 Cs 0.781 0.519 0.481
10 Cs 0.000 0.764 0.882
11 Cs 0.781 0.519 0.038
12 Cs 0.203 0.667 0.333
13 Cs 0.219 0.962 0.481
14 Cs 0.000 0.433 0.216
15 Cs 0.500 0.221 0.779
16 Cs 0.500 0.884 0.116
17 Cs 0.781 0.962 0.481
18 Cs 0.219 0.519 0.038
19 Cs 0.500 0.884 0.768
20 Cs 0.500 0.232 0.116
21 Cs 0.797 0.667 0.333
22 O 0.000 0.584 0.416
23 O 0.000 0.831 0.416
24 O 0.000 0.584 0.169

Output
As for the theoretical density: 2.2 g/cm3. The value obtained for the energy relative to the elements, uncorrected is -306 kJ/mol of formula units.



Record 17
Below is a geometry-optimized Cs2O structure, with properties calculated at the PBE-GGA level.

Cell: 4.263 7.010 7.181 Å, 90.00 89.97 90.00°
Fractional positions:
1 Cs 0.250 0.860 0.487
2 Cs 0.750 0.360 0.513
3 Cs 0.250 0.640 0.013
4 Cs 0.750 0.140 0.987
5 O 0.250 0.250 0.750
6 O 0.750 0.750 0.250

Output
As for the theoretical density: 4.4 g/cm3. The value obtained for the energy relative to the elements, uncorrected is -265 kJ/mol of formula units.



Record 18
Below is a geometry-optimized CsO structure, with properties calculated at the PBE-GGA level.

Cell: 5.635 5.635 4.801 Å, 90.00 90.00 120.00°
Fractional positions:
1 O 0.667 0.333 0.250
2 O 0.333 0.667 0.750
3 Cs 0.333 0.667 0.250
4 Cs 0.667 0.333 0.750

Output
As for the theoretical density: 3.7 g/cm3. The value obtained for the energy relative to the elements, uncorrected is -109 kJ/mol of formula units.



Record 19
Below is a geometry-optimized Cs4O structure, with properties calculated at the PBE-GGA level.

Cell: 3.998 8.997 8.997 Å, 87.17 77.16 77.16°
Fractional positions:
1 Cs 0.509 0.194 0.788
2 Cs 0.297 0.212 0.194
3 Cs 0.703 0.788 0.806
4 Cs 0.491 0.806 0.212
5 O 0.000 0.000 0.000

Output
As for the relative energy among the computed polymorphs: 0.1990 eV/atom. As for the theoretical density: 3.0 g/cm3. The value obtained for the energy relative to the elements, uncorrected is -205 kJ/mol of formula units.



Record 20
Below is a geometry-optimized Cs4O structure, with properties calculated at the PBE-GGA level.

Cell: 10.294 10.294 10.411 Å, 104.08 104.08 120.53°
Fractional positions:
1 Cs 0.160 0.836 0.331
2 Cs 0.079 0.254 0.169
3 Cs 0.504 0.829 0.669
4 Cs 0.629 0.956 0.328
5 Cs 0.628 0.301 0.672
6 Cs 0.551 0.378 0.172
7 Cs 0.086 0.910 0.831
8 Cs 0.206 0.379 0.828
9 O 0.481 0.981 0.500
10 O 0.231 0.231 0.000

Output
As for the relative energy among the computed polymorphs: 0.0000 eV/atom. As for the theoretical density: 2.2 g/cm3. The value obtained for the energy relative to the elements, uncorrected is -301 kJ/mol of formula units.



Record 21
Below is a geometry-optimized Cs2O structure, with properties calculated at the PBE-GGA level.

Cell: 5.733 6.933 10.851 Å, 90.00 90.00 90.00°
Fractional positions:
1 O 0.750 0.843 0.117
2 O 0.750 0.343 0.383
3 O 0.250 0.657 0.617
4 O 0.250 0.157 0.883
5 Cs 0.250 0.056 0.637
6 Cs 0.250 0.511 0.385
7 Cs 0.750 0.489 0.615
8 Cs 0.250 0.556 0.863
9 Cs 0.250 0.011 0.115
10 Cs 0.750 0.444 0.137
11 Cs 0.750 0.989 0.885
12 Cs 0.750 0.944 0.363

Output
As for the theoretical density: 4.3 g/cm3. The value obtained for the energy relative to the elements, uncorrected is -263 kJ/mol of formula units.



Record 22
Below is a geometry-optimized CsO structure, with properties calculated at the PBE-GGA level.

Cell: 4.388 5.495 5.495 Å, 73.53 66.47 66.47°
Fractional positions:
1 O 0.000 0.615 0.385
2 O 0.000 0.385 0.615
3 Cs 0.744 0.256 0.256
4 Cs 0.256 0.744 0.744

Output
As for the theoretical density: 4.5 g/cm3. The value obtained for the energy relative to the elements, uncorrected is -194 kJ/mol of formula units.